(1)
Compound: ScCo2Ni
Source: Alexandria via LeMat-Bulk
Functional: meta-GGA SCAN
Structure: single point on PBEsol structure

Computed properties:
The calculation puts the calculated density at 7.506 g/cm3. The energy of formation from the pure elements is -0.02 eV/atom. As for the crystal system: cubic.

Geometry as POSCAR:
```
ScCo2Ni
1.0
-0.398 0.388 4.070
-3.574 -0.907 1.810
-0.316 -3.346 2.361
Co Ni Sc
2 1 1
direct
0.750 0.750 0.750
0.250 0.250 0.250
0.000 0.000 0.000
0.500 0.500 0.500
```

(2)
Compound: ScCoNiSn
Source: Alexandria via LeMat-Bulk
Functional: meta-GGA SCAN
Structure: single point on PBEsol structure

Computed properties:
The calculation puts the calculated density at 8.058 g/cm3. The energy of formation from the pure elements is -0.53 eV/atom. As for the crystal system: cubic.

Geometry as POSCAR:
```
ScCoNiSn
1.0
4.344 0.000 0.000
2.172 3.762 0.000
2.172 1.254 3.547
Co Sn Ni Sc
1 1 1 1
direct
0.250 0.250 0.250
0.500 0.500 0.500
0.750 0.750 0.750
0.000 0.000 0.000
```